Entry 1:
Ho12Er7Pu after structural relaxation, computed with PBE.

```
Ho12Er7Pu
1.0
-5.855 -5.167 5.794
-2.664 -1.270 -9.265
9.179 -2.987 1.172
Er Ho Pu
7 12 1
Direct
0.000 0.500 0.000
0.000 0.000 0.500
0.000 0.500 0.500
0.500 0.500 0.500
0.500 0.000 0.000
0.500 0.500 0.000
0.500 0.000 0.500
0.495 0.747 0.747
0.505 0.253 0.253
0.253 0.747 0.000
0.000 0.253 0.747
0.747 0.000 0.253
0.747 0.747 0.495
0.747 0.495 0.747
0.253 0.505 0.253
0.000 0.747 0.253
0.253 0.253 0.505
0.747 0.253 0.000
0.253 0.000 0.747
0.000 0.000 0.000
```

Properties
The calculation puts the energy above the most stable polymorph in this dataset at 510 meV/atom. The value obtained for the calculated total energy is -85.9 eV for the cell shown. Its space-group type is Im-3m. The value obtained for the formation energy from the elements is 15.33 eV/f.u. The size of the total moment is 6.38 μB/f.u.

---

Entry 2:
Ho12Er6Pu after structural relaxation, computed with PBE.

```
Ho12Er6Pu
1.0
8.769 -0.598 -2.991
-3.997 7.828 -2.991
-0.394 -0.598 9.257
Pu Ho Er
1 12 6
Direct
0.000 0.000 0.000
0.156 0.739 0.105
0.629 0.945 0.419
0.371 0.055 0.581
0.105 0.156 0.739
0.945 0.419 0.629
0.581 0.371 0.055
0.739 0.105 0.156
0.419 0.629 0.945
0.844 0.261 0.895
0.895 0.844 0.261
0.261 0.895 0.844
0.055 0.581 0.371
0.791 0.686 0.529
0.314 0.471 0.209
0.686 0.529 0.791
0.529 0.791 0.686
0.471 0.209 0.314
0.209 0.314 0.471
```

Properties
The value obtained for the calculated total energy is -96.0 eV for the cell shown. Its space-group type is R-3. The value obtained for the formation energy from the elements is 0.62 eV/f.u. The size of the total moment is 6.43 μB/f.u.

---

Entry 3:
Ho3Er8Pu after structural relaxation, computed with PBE.

```
Ho3Er8Pu
1.0
-4.426 2.258 6.963
-0.877 -7.493 -3.382
2.756 -7.024 4.030
Er Pu Ho
8 1 3
Direct
0.197 0.933 0.264
0.736 0.933 0.803
0.359 0.464 0.895
0.264 0.067 0.736
0.803 0.067 0.197
0.105 0.464 0.641
0.895 0.536 0.105
0.641 0.536 0.359
0.000 0.000 0.000
0.250 0.500 0.250
0.500 0.000 0.500
0.750 0.500 0.750
```

Properties
The value obtained for the calculated total energy is -57.2 eV for the cell shown. Its space-group type is I-42m. The value obtained for the formation energy from the elements is 7.36 eV/f.u. The size of the total moment is 4.16 μB/f.u.

---

Entry 4:
Ho8Er4Pu after structural relaxation, computed with PBE.

```
Ho8Er4Pu
1.0
7.457 -1.134 1.305
0.892 7.490 1.305
-1.490 -1.134 7.423
Ho Er Pu
8 4 1
Direct
0.754 0.244 0.244
0.756 0.246 0.756
0.246 0.756 0.756
0.244 0.244 0.754
0.756 0.756 0.246
0.244 0.754 0.244
0.245 0.245 0.245
0.755 0.755 0.755
0.000 0.500 0.500
0.000 0.000 0.000
0.500 0.500 0.000
0.500 0.000 0.500
0.500 0.500 0.500
```

Properties
The value obtained for the calculated total energy is -62.6 eV for the cell shown. Its space-group type is R-3m. The value obtained for the formation energy from the elements is 6.65 eV/f.u. The size of the total moment is 6.33 μB/f.u.

---

Entry 5:
Ho2ErPu after structural relaxation, computed with PBE.

```
Ho2ErPu
1.0
-2.514 -1.018 -4.835
2.301 -3.493 -3.639
-2.313 -4.951 -0.933
Er Pu Ho
1 1 2
Direct
0.500 0.500 0.500
0.000 0.000 0.000
0.750 0.750 0.750
0.250 0.250 0.250
```

Properties
The calculation puts the energy above the most stable polymorph in this dataset at 99 meV/atom. The value obtained for the calculated total energy is -27.3 eV for the cell shown. Its space-group type is Fm-3m. The value obtained for the formation energy from the elements is 0.75 eV/f.u. The size of the total moment is 7.10 μB/f.u.

---

Entry 6:
Ho6Er2Pu after structural relaxation, computed with PBE.

```
Ho6Er2Pu
1.0
-1.936 0.303 6.959
4.215 -2.986 5.059
3.860 4.544 4.632
Ho Er Pu
6 2 1
Direct
0.056 0.056 0.286
0.774 0.260 0.707
0.260 0.774 0.707
0.056 0.603 0.286
0.260 0.260 0.707
0.603 0.056 0.286
0.757 0.757 0.729
0.579 0.579 0.264
0.323 0.323 0.032
```

Properties
The calculation puts the energy above the most stable polymorph in this dataset at 292 meV/atom. The value obtained for the calculated total energy is -47.8 eV for the cell shown. Its space-group type is R3m. The value obtained for the formation energy from the elements is 3.09 eV/f.u. The size of the total moment is 4.50 μB/f.u.

---

Entry 7:
Ho4Er2Pu after structural relaxation, computed with PBE.

```
Ho4Er2Pu
1.0
1.214 6.665 -1.340
0.228 -1.978 -6.612
-5.314 -1.584 3.590
Pu Ho Er
1 4 2
Direct
0.214 0.786 0.000
0.668 0.701 0.000
0.299 0.332 0.000
0.760 0.871 0.631
0.129 0.240 0.369
0.214 0.786 0.500
0.714 0.286 0.500
```

Properties
The value obtained for the calculated total energy is -40.0 eV for the cell shown. Its space-group type is I-42m. The value obtained for the formation energy from the elements is 1.80 eV/f.u. The size of the total moment is 6.37 μB/f.u.

---

Entry 8:
HoErPu after structural relaxation, computed with PBE.

```
HoErPu
1.0
3.485 0.000 0.000
-1.743 3.018 0.000
0.000 0.000 8.489
Er Pu Ho
1 1 1
Direct
0.333 0.667 0.665
0.667 0.333 0.334
0.000 0.000 0.001
```

Properties
The calculation puts the energy above the most stable polymorph in this dataset at 14 meV/atom. The value obtained for the calculated total energy is -23.1 eV for the cell shown. Its space-group type is P3m1. The value obtained for the formation energy from the elements is 0.36 eV/f.u. The size of the total moment is 6.03 μB/f.u.

---

Entry 9:
Ho2Er5Pu after structural relaxation, computed with PBE.

```
Ho2Er5Pu
1.0
5.436 -0.270 3.865
-0.748 5.402 3.862
-0.864 -0.967 15.298
Ho Er Pu
4 10 2
Direct
0.500 0.000 0.000
0.000 0.500 0.500
0.500 0.500 0.500
0.500 0.500 0.000
0.036 0.770 0.981
0.958 0.426 0.764
0.230 0.963 0.519
0.556 0.443 0.250
0.042 0.574 0.236
0.770 0.037 0.481
0.444 0.557 0.750
0.424 0.959 0.263
0.964 0.230 0.019
0.576 0.041 0.737
0.052 0.954 0.748
0.948 0.046 0.252
```

Properties
The value obtained for the calculated total energy is -89.6 eV for the cell shown. Its space-group type is P-1. The value obtained for the formation energy from the elements is 1.51 eV/f.u. The size of the total moment is 7.21 μB/f.u.

---

Entry 10:
Ho10Er4Pu after structural relaxation, computed with PBE.

```
Ho10Er4Pu
1.0
6.959 0.000 3.142
3.479 7.898 1.571
0.229 0.000 8.769
Ho Er Pu
10 4 1
Direct
0.077 0.209 0.209
0.505 0.209 0.209
0.714 0.209 0.791
0.495 0.791 0.791
0.286 0.209 0.791
0.923 0.791 0.791
0.286 0.791 0.209
0.750 0.500 0.500
0.250 0.500 0.500
0.714 0.791 0.209
0.768 0.464 0.000
0.768 0.000 0.464
0.232 0.000 0.536
0.232 0.536 0.000
0.000 0.000 0.000
```

Properties
The value obtained for the calculated total energy is -74.4 eV for the cell shown. Its space-group type is I4/mmm. The value obtained for the formation energy from the elements is 3.92 eV/f.u. The size of the total moment is 7.10 μB/f.u.

---

Entry 11:
HoErPu after structural relaxation, computed with PBE.

```
HoErPu
1.0
-2.938 -1.134 -0.917
2.138 -7.276 2.147
-2.776 1.321 7.258
Er Pu Ho
2 2 2
Direct
0.500 0.237 0.763
0.500 0.763 0.237
0.500 0.500 0.500
0.000 0.000 0.000
0.000 0.263 0.263
0.000 0.737 0.737
```

Properties
The calculation puts the energy above the most stable polymorph in this dataset at 638 meV/atom. The value obtained for the calculated total energy is -42.5 eV for the cell shown. Its space-group type is Cmmm. The value obtained for the formation energy from the elements is 2.23 eV/f.u. The size of the total moment is 6.49 μB/f.u.

---

Entry 12:
Ho5Er6Pu2 after structural relaxation, computed with PBE.

```
Ho5Er6Pu2
1.0
3.500 0.000 0.000
0.000 11.459 0.000
0.000 0.000 19.985
Ho Er Pu
10 12 4
Direct
0.500 0.303 0.449
0.500 0.500 0.000
0.500 0.578 0.272
0.500 0.078 0.228
0.500 0.697 0.551
0.500 0.422 0.728
0.500 0.000 0.500
0.500 0.803 0.051
0.500 0.197 0.949
0.500 0.922 0.772
0.000 0.561 0.419
0.500 0.173 0.641
0.000 0.439 0.581
0.500 0.673 0.859
0.500 0.827 0.359
0.000 0.917 0.631
0.000 0.939 0.919
0.500 0.327 0.141
0.000 0.583 0.131
0.000 0.083 0.369
0.000 0.061 0.081
0.000 0.417 0.869
0.000 0.172 0.794
0.000 0.828 0.206
0.000 0.672 0.706
0.000 0.328 0.294
```

Properties
The value obtained for the calculated total energy is -153.7 eV for the cell shown. Its space-group type is Pbam. The value obtained for the formation energy from the elements is 2.10 eV/f.u. The size of the total moment is 12.41 μB/f.u.

---

Entry 13:
Ho6Er8Pu after structural relaxation, computed with PBE.

```
Ho6Er8Pu
1.0
6.564 0.000 0.000
0.000 7.993 -4.614
0.000 0.000 9.229
Er Ho Pu
8 6 1
Direct
0.103 0.024 0.688
0.897 0.688 0.664
0.103 0.664 0.976
0.103 0.312 0.336
0.184 0.667 0.333
0.897 0.976 0.312
0.897 0.336 0.024
0.816 0.333 0.667
0.403 0.596 0.679
0.403 0.083 0.404
0.403 0.321 0.917
0.597 0.404 0.321
0.597 0.917 0.596
0.597 0.679 0.083
0.500 0.000 0.000
```

Properties
The value obtained for the calculated total energy is -74.2 eV for the cell shown. Its space-group type is P-3. The value obtained for the formation energy from the elements is 4.12 eV/f.u. The size of the total moment is 6.61 μB/f.u.

---

Entry 14:
Ho6Er12Pu after structural relaxation, computed with PBE.

```
Ho6Er12Pu
1.0
-2.722 -7.940 0.380
0.766 -0.416 -8.357
7.969 -2.433 1.086
Er Ho Pu
12 6 1
Direct
0.524 0.464 0.792
0.208 0.476 0.536
0.850 0.628 0.949
0.949 0.850 0.628
0.051 0.150 0.372
0.536 0.208 0.476
0.476 0.536 0.208
0.464 0.792 0.524
0.792 0.524 0.464
0.628 0.949 0.850
0.372 0.051 0.150
0.150 0.372 0.051
0.739 0.269 0.118
0.269 0.118 0.739
0.118 0.739 0.269
0.882 0.261 0.731
0.731 0.882 0.261
0.261 0.731 0.882
0.000 0.000 0.000
```

Properties
The value obtained for the calculated total energy is -93.6 eV for the cell shown. Its space-group type is R-3. The value obtained for the formation energy from the elements is 3.00 eV/f.u. The size of the total moment is 5.84 μB/f.u.

---

Entry 15:
HoErPu after structural relaxation, computed with PBE.

```
HoErPu
1.0
3.472 0.000 0.000
0.000 3.472 0.000
-1.736 -1.736 7.356
Pu Er Ho
1 1 1
Direct
0.950 0.950 0.900
0.614 0.614 0.228
0.286 0.286 0.571
```

Properties
The calculation puts the energy above the most stable polymorph in this dataset at 0 meV/atom. The value obtained for the calculated total energy is -23.2 eV for the cell shown. Its space-group type is I4mm. The value obtained for the formation energy from the elements is 0.31 eV/f.u. The size of the total moment is 6.11 μB/f.u.

---

Entry 16:
Ho5Er2Pu after structural relaxation, computed with PBE.

```
Ho5Er2Pu
1.0
5.931 -0.240 2.828
-0.767 5.886 2.828
-1.267 -1.385 12.793
Ho Er Pu
10 4 2
Direct
0.637 0.012 0.238
0.363 0.988 0.762
0.033 0.256 0.981
0.988 0.363 0.262
0.522 0.477 0.750
0.012 0.637 0.738
0.967 0.744 0.019
0.478 0.523 0.250
0.744 0.967 0.519
0.256 0.033 0.481
0.500 0.500 0.500
0.000 0.500 0.500
0.500 0.000 0.000
0.500 0.500 0.000
0.886 0.114 0.750
0.114 0.886 0.250
```

Properties
The value obtained for the calculated total energy is -89.8 eV for the cell shown. Its space-group type is C2/c. The value obtained for the formation energy from the elements is 1.42 eV/f.u. The size of the total moment is 6.42 μB/f.u.

---

Entry 17:
Ho4Er7Pu after structural relaxation, computed with PBE.

```
Ho4Er7Pu
1.0
-3.852 2.292 -3.823
-2.401 -4.697 -9.889
-6.149 -5.864 -2.066
Er Ho Pu
7 4 1
Direct
0.162 0.850 0.463
0.867 0.386 0.000
0.838 0.150 0.537
0.133 0.614 0.000
0.500 0.000 0.000
0.164 0.313 0.538
0.836 0.687 0.462
0.479 0.148 0.262
0.521 0.590 0.262
0.521 0.852 0.738
0.479 0.410 0.738
0.000 0.000 0.000
```

Properties
The value obtained for the calculated total energy is -62.9 eV for the cell shown. Its space-group type is P-1. The value obtained for the formation energy from the elements is 1.64 eV/f.u. The size of the total moment is 6.05 μB/f.u.

---

Entry 18:
Ho4Er9Pu after structural relaxation, computed with PBE.

```
Ho4Er9Pu
1.0
-5.048 -3.139 -9.151
1.833 -9.188 2.141
-8.123 4.121 3.067
Er Ho Pu
18 8 2
Direct
0.468 0.420 0.210
0.750 0.537 0.463
0.750 0.926 0.463
0.032 0.790 0.580
0.468 0.790 0.580
0.750 0.537 0.074
0.250 0.074 0.537
0.968 0.210 0.420
0.968 0.580 0.790
0.532 0.210 0.420
0.250 0.463 0.926
0.250 0.463 0.537
0.032 0.420 0.210
0.468 0.790 0.210
0.968 0.210 0.790
0.032 0.790 0.210
0.532 0.580 0.790
0.532 0.210 0.790
0.750 0.887 0.113
0.750 0.226 0.113
0.000 0.000 0.000
0.250 0.774 0.887
0.250 0.113 0.226
0.250 0.113 0.887
0.500 0.000 0.000
0.750 0.887 0.774
0.750 0.333 0.667
0.250 0.667 0.333
```

Properties
The value obtained for the calculated total energy is -142.0 eV for the cell shown. Its space-group type is P6_3/mmc. The value obtained for the formation energy from the elements is 2.70 eV/f.u. The size of the total moment is 5.30 μB/f.u.

---

Entry 19:
Ho2Er7Pu after structural relaxation, computed with PBE.

```
Ho2Er7Pu
1.0
3.238 -1.299 -0.131
-2.732 12.146 -2.062
0.126 -0.541 8.545
Ho Er Pu
2 7 1
Direct
0.301 0.901 0.296
0.699 0.099 0.704
0.803 0.402 0.800
0.197 0.598 0.200
0.907 0.703 0.900
0.601 0.800 0.599
0.399 0.200 0.401
0.500 0.500 0.500
0.093 0.297 0.100
0.000 0.000 0.000
```

Properties
The value obtained for the calculated total energy is -54.9 eV for the cell shown. Its space-group type is P2/m. The value obtained for the formation energy from the elements is 0.49 eV/f.u. The size of the total moment is 6.03 μB/f.u.